1.
The following is a DFT calculation (GGA-PBE) of an optimized crystal structure of Np6P5S.

Properties
- Formation energy (no corrections): -0.963 eV per atom
- DOS(E_F): 3.573 states/eV/atom
- Volume: 264 Å³ per cell

Unit cell a=6.862 b=6.862 c=6.856 alpha=99.59 beta=99.59 gamma=120.02
Fractional positions:
Np 0.417 0.083 0.250
Np 0.917 0.583 0.750
Np 0.250 0.250 0.750
Np 0.750 0.750 0.250
Np 0.083 0.417 0.250
Np 0.583 0.917 0.750
P 0.834 0.166 0.500
P 0.667 0.333 0.000
P 0.500 0.500 0.500
P 0.333 0.667 0.000
P 0.166 0.834 0.500
S 0.000 0.000 0.000

***

2.
The following is a DFT calculation (GGA-PBE) of an optimized crystal structure of NpPS4.

Properties
- Formation energy (no corrections): -0.514 eV per atom
- DOS(E_F): 1.397 states/eV/atom
- Volume: 317 Å³ per cell

Unit cell a=6.326 b=6.402 c=9.024 alpha=104.46 beta=104.13 gamma=107.45
Fractional positions:
Np 0.322 0.572 0.143
Np 0.678 0.428 0.857
P 0.848 0.098 0.196
P 0.152 0.902 0.804
S 0.299 0.039 0.649
S 0.027 0.774 0.088
S 0.150 0.390 0.351
S 0.439 0.686 0.912
S 0.701 0.961 0.351
S 0.850 0.610 0.649
S 0.973 0.226 0.912
S 0.561 0.314 0.088

***

3.
The following is a DFT calculation (GGA-PBE) of an optimized crystal structure of NpP4S12.

Properties
- Formation energy (no corrections): -0.391 eV per atom
- DOS(E_F): 0.152 states/eV/atom
- Volume: 886 Å³ per cell

Unit cell a=10.694 b=10.694 c=10.694 alpha=102.17 beta=102.17 gamma=125.34
Fractional positions:
Np 0.500 0.500 0.000
Np 0.750 0.250 0.500
P 0.939 0.761 0.189
P 0.572 0.750 0.811
P 0.000 0.689 0.678
P 0.011 0.322 0.322
P 0.311 0.989 0.311
P 0.678 0.000 0.689
P 0.250 0.061 0.822
P 0.239 0.428 0.178
S 0.986 0.877 0.769
S 0.108 0.217 0.231
S 0.467 0.736 0.610
S 0.127 0.858 0.390
S 0.264 0.873 0.731
S 0.142 0.533 0.269
S 0.783 0.014 0.890
S 0.123 0.892 0.110
S 0.856 0.554 0.470
S 0.084 0.386 0.530
S 0.636 0.606 0.801
S 0.804 0.834 0.199
S 0.394 0.196 0.030
S 0.166 0.364 0.970
S 0.614 0.144 0.699
S 0.446 0.916 0.301
S 0.775 0.509 0.084
S 0.425 0.691 0.916
S 0.941 0.525 0.766
S 0.759 0.175 0.234
S 0.475 0.241 0.416
S 0.825 0.059 0.584
S 0.309 0.225 0.734
S 0.491 0.575 0.266

***

4.
The following is a DFT calculation (GGA-PBE) of an optimized crystal structure of NpPS.

Properties
- Formation energy (no corrections): -0.672 eV per atom
- DOS(E_F): 2.252 states/eV/atom
- Volume: 59 Å³ per cell

Unit cell a=3.714 b=3.714 c=5.035 alpha=111.64 beta=111.64 gamma=90.00
Fractional positions:
Np 0.660 0.660 0.320
P 0.039 0.039 0.078
S 0.301 0.301 0.602

***

5.
The following is a DFT calculation (GGA-PBE) of an optimized crystal structure of Np3PS2.

Properties
- Formation energy (no corrections): -1.219 eV per atom
- DOS(E_F): 3.455 states/eV/atom
- Volume: 129 Å³ per cell

Unit cell a=3.934 b=5.554 c=6.806 alpha=114.08 beta=106.80 gamma=90.00
Fractional positions:
Np 0.333 0.333 0.666
Np 0.000 0.000 0.000
Np 0.667 0.667 0.334
P 0.000 0.500 0.000
S 0.666 0.166 0.332
S 0.334 0.834 0.668

***

6.
The following is a DFT calculation (GGA-PBE) of an optimized crystal structure of NpP2S6.

Properties
- Formation energy (no corrections): -0.508 eV per atom
- DOS(E_F): 1.032 states/eV/atom
- Volume: 262 Å³ per cell

Unit cell a=6.443 b=6.443 c=8.177 alpha=66.80 beta=66.80 gamma=60.00
Fractional positions:
Np 0.333 0.333 0.000
P 0.718 0.718 0.846
P 0.615 0.615 0.154
S 0.712 0.460 0.764
S 0.064 0.712 0.764
S 0.460 0.064 0.764
S 0.304 0.552 0.236
S 0.907 0.304 0.236
S 0.552 0.907 0.236

***

7.
The following is a DFT calculation (GGA-PBE) of an optimized crystal structure of Np4PS3.

Properties
- Formation energy (no corrections): -1.260 eV per atom
- DOS(E_F): 3.331 states/eV/atom
- Volume: 171 Å³ per cell

Unit cell a=5.552 b=5.552 c=5.552 alpha=90.00 beta=90.00 gamma=90.00
Fractional positions:
Np 0.500 0.000 0.000
Np 0.000 0.500 0.000
Np 0.000 0.000 0.500
Np 0.500 0.500 0.500
P 0.000 0.000 0.000
S 0.000 0.500 0.500
S 0.500 0.000 0.500
S 0.500 0.500 0.000

***

8.
The following is a DFT calculation (GGA-PBE) of an optimized crystal structure of Np4PS5.

Properties
- Formation energy (no corrections): -1.145 eV per atom
- DOS(E_F): 2.536 states/eV/atom
- Volume: 212 Å³ per cell

Unit cell a=3.643 b=10.775 c=18.379 alpha=161.96 beta=95.69 gamma=90.00
Fractional positions:
Np 0.809 0.363 0.618
Np 0.935 0.106 0.869
Np 0.191 0.637 0.382
Np 0.065 0.894 0.131
P 0.500 0.000 0.000
S 0.394 0.450 0.789
S 0.288 0.495 0.577
S 0.712 0.505 0.423
S 0.500 0.500 0.000
S 0.606 0.550 0.211

***

9.
The following is a DFT calculation (GGA-PBE) of an optimized crystal structure of Np6PSe3S2.

Properties
- Formation energy (no corrections): -1.141 eV per atom
- DOS(E_F): 3.859 states/eV/atom
- Volume: 275 Å³ per cell

Unit cell a=6.923 b=6.923 c=7.016 alpha=99.47 beta=99.47 gamma=120.00
Fractional positions:
Np 0.922 0.589 0.766
Np 0.744 0.744 0.233
Np 0.078 0.411 0.234
Np 0.589 0.922 0.766
Np 0.256 0.256 0.767
Np 0.411 0.078 0.234
P 0.000 0.000 0.000
Se 0.166 0.834 0.500
Se 0.834 0.166 0.500
Se 0.500 0.500 0.500
S 0.333 0.667 0.000
S 0.667 0.333 0.000

***

10.
The following is a DFT calculation (GGA-PBE) of an optimized crystal structure of SrNpP2S8.

Properties
- Formation energy (no corrections): -0.728 eV per atom
- DOS(E_F): 0.221 states/eV/atom
- Volume: 288 Å³ per cell

Unit cell a=6.054 b=6.054 c=9.088 alpha=90.00 beta=90.00 gamma=120.00
Fractional positions:
Sr 0.000 0.000 0.000
Np 0.000 0.000 0.500
P 0.667 0.333 0.237
P 0.333 0.667 0.763
S 0.333 0.667 0.982
S 0.343 0.339 0.308
S 0.661 0.004 0.308
S 0.667 0.333 0.018
S 0.339 0.996 0.692
S 0.657 0.661 0.692
S 0.004 0.343 0.692
S 0.996 0.657 0.308

***

11.
The following is a DFT calculation (GGA-PBE) of an optimized crystal structure of NpTlP2S8.

Properties
- Formation energy (no corrections): -0.398 eV per atom
- DOS(E_F): 0.677 states/eV/atom
- Volume: 309 Å³ per cell

Unit cell a=6.141 b=6.141 c=10.094 alpha=72.29 beta=72.29 gamma=60.00
Fractional positions:
Np 0.000 0.000 0.000
Tl 0.500 0.500 0.500
P 0.254 0.254 0.239
P 0.746 0.746 0.761
S 0.184 0.184 0.447
S 0.592 0.293 0.164
S 0.816 0.816 0.553
S 0.952 0.592 0.164
S 0.048 0.408 0.836
S 0.293 0.952 0.164
S 0.707 0.048 0.836
S 0.408 0.707 0.836

***

12.
The following is a DFT calculation (GGA-PBE) of an optimized crystal structure of NpUPS2.

Properties
- Formation energy (no corrections): -0.810 eV per atom
- DOS(E_F): 1.633 states/eV/atom
- Volume: 98 Å³ per cell

Unit cell a=4.013 b=4.013 c=6.717 alpha=107.38 beta=107.38 gamma=90.00
Fractional positions:
Np 0.900 0.900 0.800
U 0.100 0.100 0.200
P 0.500 0.500 0.000
S 0.750 0.250 0.500
S 0.250 0.750 0.500